(1)
First-principles (SCAN) data for PtI2BrN at its PBEsol-relaxed geometry, as listed in Alexandria via LeMat-Bulk.

Lattice parameters (Å, degrees): 5.9534 5.9534 4.6806 90.00 90.00 90.00
Fractional positions:
Pt: 0.0000 0.0000 0.0000
I: 0.0000 0.5000 0.5000
I: 0.5000 0.0000 0.5000
Br: 0.0000 0.0000 0.5000
N: 0.5000 0.5000 0.0000

space-group type = P4/mmm (123)
electronic total energy = -163.9 eV/cell
calculated volume = 33.18 Å³ per atom



(2)
First-principles (SCAN) data for KAlS2 at its PBEsol-relaxed geometry, as listed in Alexandria via LeMat-Bulk.

Lattice parameters (Å, degrees): 6.8294 6.8294 8.4110 90.00 90.00 90.00
Fractional positions:
K: 0.0000 0.0000 0.0000
K: 0.0000 0.5000 0.2500
K: 0.5000 0.0000 0.7500
K: 0.5000 0.5000 0.5000
Al: 0.0000 0.0000 0.5000
Al: 0.0000 0.5000 0.7500
Al: 0.5000 0.0000 0.2500
Al: 0.5000 0.5000 0.0000
S: 0.1528 0.2500 0.6250
S: 0.2500 0.6528 0.8750
S: 0.2500 0.8472 0.3750
S: 0.3472 0.2500 0.1250
S: 0.6528 0.7500 0.1250
S: 0.7500 0.1528 0.3750
S: 0.7500 0.3472 0.8750
S: 0.8472 0.7500 0.6250

space-group type = I-42d (122)
electronic total energy = -165.0 eV/cell
calculated volume = 24.52 Å³ per atom



(3)
First-principles (SCAN) data for TlCuMo3 at its PBEsol-relaxed geometry, as listed in Alexandria via LeMat-Bulk.

Lattice parameters (Å, degrees): 4.4992 4.4992 4.4992 90.00 90.00 90.00
Fractional positions:
Tl: 0.0000 0.0000 0.0000
Cu: 0.5000 0.5000 0.5000
Mo: 0.0000 0.5000 0.5000
Mo: 0.5000 0.0000 0.5000
Mo: 0.5000 0.5000 0.0000

space-group type = Pm-3m (221)
ΔE_f = 1.565 eV per atom
electronic total energy = -184.4 eV/cell
calculated volume = 18.21 Å³ per atom



(4)
First-principles (SCAN) data for Tl2Se at its PBEsol-relaxed geometry, as listed in Alexandria via LeMat-Bulk.

Lattice parameters (Å, degrees): 4.4263 4.4263 5.3769 90.00 90.00 120.00
Fractional positions:
Tl: 0.3333 0.6667 0.2056
Tl: 0.6667 0.3333 0.7944
Se: 0.0000 0.0000 0.5000

space-group type = P-3m1 (164)
electronic total energy = -166.0 eV/cell
calculated volume = 30.41 Å³ per atom



Question: Among the records above, which one has the lowest electronic total energy?
Answer: TlCuMo3



Question: What is the electronic total energy in the third record?
Answer: -184.4 eV/cell



Question: What is the calculated volume in the second record?
Answer: 24.52 Å³ per atom



Question: Which value of electronic total energy does entry 4 give?
Answer: -166.0 eV/cell